No. 1
VASP calculation (PBE-GGA) on Sc2MnRu after structural relaxation.

Properties
Volume ... 72 Å³/f.u.
Crystal system ... trigonal
Formation energy from the elements ... 0.034 eV per atom

Cell: 3.1320 3.1320 25.5455 Å, 90.00 90.00 120.00°
Space group R-3m (No. 166, hexagonal axes)
Unique sites:
Sc (0.0000, 0.0000, 0.2439)
Mn (0.0000, 0.0000, 0.0000)
Ru (0.0000, 0.0000, 0.5000)

---

No. 2
VASP calculation (PBE-GGA) on ScMnRu after structural relaxation.

Properties
Volume ... 57 Å³/f.u.
Crystal system ... cubic
Formation energy from the elements ... 0.201 eV per atom

Cell: 6.1037 6.1037 6.1037 Å, 90.00 90.00 90.00°
Space group F-43m (No. 216)
Unique sites:
Sc (0.0000, 0.0000, 0.0000)
Mn (0.0000, 0.0000, 0.5000)
Ru (0.2500, 0.2500, 0.2500)

---

No. 3
VASP calculation (PBE-GGA) on Sc2MnRu after structural relaxation.

Properties
Volume ... 69 Å³/f.u.
Crystal system ... cubic
Formation energy from the elements ... -0.027 eV per atom

Cell: 6.4972 6.4972 6.4972 Å, 90.00 90.00 90.00°
Space group F-43m (No. 216)
Unique sites:
Sc (0.0000, 0.0000, 0.0000)
Sc (0.2500, 0.2500, 0.2500)
Mn (0.0000, 0.0000, 0.5000)
Ru (0.2500, 0.2500, 0.7500)

---

No. 4
VASP calculation (PBE-GGA) on ScMn4Ru after structural relaxation.

Properties
Volume ... 77 Å³/f.u.
Crystal system ... cubic
Formation energy from the elements ... -0.012 eV per atom

Cell: 6.7451 6.7451 6.7451 Å, 90.00 90.00 90.00°
Space group F-43m (No. 216)
Unique sites:
Sc (0.0000, 0.0000, 0.0000)
Mn (0.1274, 0.1274, 0.6274)
Ru (0.2500, 0.2500, 0.2500)

---

No. 5
VASP calculation (PBE-GGA) on ScMn2Ru2 after structural relaxation.

Properties
Volume ... 82 Å³/f.u.
Crystal system ... tetragonal
Formation energy from the elements ... 0.048 eV per atom

Cell: 3.9150 3.9150 10.6635 Å, 90.00 90.00 90.00°
Space group I4/mmm (No. 139)
Unique sites:
Sc (0.0000, 0.0000, 0.0000)
Mn (0.0000, 0.5000, 0.2500)
Ru (0.0000, 0.0000, 0.3887)

---

No. 6
VASP calculation (PBE-GGA) on Sc2MnRu after structural relaxation.

Properties
Volume ... 74 Å³/f.u.
Crystal system ... tetragonal
Formation energy from the elements ... -0.072 eV per atom

Cell: 3.1696 3.1696 7.3763 Å, 90.00 90.00 90.00°
Space group P4mm (No. 99)
Unique sites:
Sc (0.0000, 0.0000, 0.0000)
Sc (0.5000, 0.5000, 0.3627)
Mn (0.0000, 0.0000, 0.6007)
Ru (0.5000, 0.5000, 0.7896)

---

No. 7
VASP calculation (PBE-GGA) on ScMnRu after structural relaxation.

Properties
Volume ... 46 Å³/f.u.
Crystal system ... tetragonal
Formation energy from the elements ... -0.085 eV per atom

Cell: 3.0152 3.0152 10.1942 Å, 90.00 90.00 90.00°
Space group I4mm (No. 107)
Unique sites:
Sc (0.0000, 0.0000, 0.0000)
Mn (0.0000, 0.0000, 0.3159)
Ru (0.0000, 0.0000, 0.6869)

---

No. 8
VASP calculation (PBE-GGA) on Sc2MnRu after structural relaxation.

Properties
Volume ... 72 Å³/f.u.
Crystal system ... monoclinic
Formation energy from the elements ... -0.147 eV per atom

Cell: 3.2680 4.3100 5.3544 Å, 90.00 107.57 90.00°
Space group Pm (No. 6)
Unique sites:
Sc (0.0000, 0.0000, 0.0000)
Sc (0.3039, 0.5000, 0.6126)
Mn (0.5834, 0.5000, 0.1674)
Ru (0.7219, 0.0000, 0.4509)